# Ni15O16

A relaxed Ni15O16 crystal (GGA+U, Alexandria via LeMat-Bulk).

Output
The energy above the most stable polymorph in this dataset comes out at 6 meV per atom. For the final energy, the calculation gives -148.594 eV for the cell shown. As for the space-group type: R-3m, No. 166. The density of states at the Fermi level comes out at 11.6 states/eV/f.u.

Lattice parameters (Å, degrees): 10.2869 10.2869 10.2869 33.61 33.61 33.61
Last column: nearest neighbours and their distance in Å.
Fractional positions:
O: 0.6240 0.1284 0.6240  6 Ni 2.08-2.16
Ni: 0.0000 0.5000 0.5000  6 O 2.10-2.11
O: 0.8676 0.8676 0.3980  5 Ni 1.99-2.11
Ni: 0.2446 0.2446 0.7540  6 O 2.06-2.16
O: 0.8676 0.3980 0.8676  5 Ni 1.99-2.11
O: 0.3760 0.3760 0.8716  6 Ni 2.08-2.16
O: 0.1284 0.6240 0.6240  6 Ni 2.08-2.16
Ni: 0.7540 0.2446 0.2446  6 O 2.06-2.16
Ni: 0.7508 0.7508 0.7508  6 O 1.99-2.11
Ni: 0.5000 0.0000 0.0000  6 O 2.10
O: 0.8750 0.8750 0.8750  6 Ni 2.10-2.11
Ni: 0.7554 0.7554 0.2460  6 O 2.06-2.16
Ni: 0.0000 0.0000 0.5000  6 O 2.10
O: 0.8716 0.3760 0.3760  6 Ni 2.08-2.16
O: 0.3749 0.3749 0.3749  6 Ni 2.09-2.10
O: 0.1250 0.1250 0.1250  6 Ni 2.10-2.11
O: 0.1324 0.6020 0.1324  5 Ni 1.99-2.11
Ni: 0.5000 0.5000 0.5000  6 O 2.08
Ni: 0.2446 0.7540 0.2446  6 O 2.06-2.16
O: 0.6251 0.6251 0.6251  6 Ni 2.09-2.10
O: 0.6240 0.6240 0.1284  6 Ni 2.08-2.16
Ni: 0.5000 0.0000 0.5000  6 O 2.10-2.11
Ni: 0.5000 0.5000 0.0000  6 O 2.10-2.11
Ni: 0.2492 0.2492 0.2492  6 O 1.99-2.11
O: 0.3760 0.8716 0.3760  6 Ni 2.08-2.16
Ni: 0.0000 0.5000 0.0000  6 O 2.10
O: 0.3980 0.8676 0.8676  5 Ni 1.99-2.11
Ni: 0.7554 0.2460 0.7554  6 O 2.06-2.16
Ni: 0.2460 0.7554 0.7554  6 O 2.06-2.16
O: 0.1324 0.1324 0.6020  5 Ni 1.99-2.11
O: 0.6020 0.1324 0.1324  5 Ni 1.99-2.11